No. 1
BaCaCl: relaxed, GGA-PBE.

## Properties
Energy relative to the lowest polymorph listed for this composition ... 0.921 eV/atom

Unit cell a=5.9457 b=5.9457 c=5.9457 alpha=60.00 beta=60.00 gamma=60.00
Last column: nearest neighbours and their distance in Å.
Fractional coordinates of all 3 atoms:
Ca 0.0000 0.0000 0.0000  4 Ba 3.64
Ba 0.7500 0.7500 0.7500  4 Ca 3.64, 4 Cl 3.64
Cl 0.5000 0.5000 0.5000  4 Ba 3.64

---

No. 2
BaCaCl4: relaxed, GGA-PBE.

Unit cell a=7.1792 b=7.3102 c=7.2192 alpha=90.00 beta=94.06 gamma=90.00
Last column: nearest neighbours and their distance in Å.
Fractional coordinates of all 12 atoms:
Ba 0.0000 0.0000 0.0000  6 Cl 3.02-3.29
Ba 0.5000 0.5000 0.0000  6 Cl 3.02-3.29
Ca 0.5000 0.0000 0.5000  6 Cl 2.68-2.90
Ca 0.0000 0.5000 0.5000  6 Cl 2.68-2.90
Cl 0.8713 0.6527 0.1786  1 Ca 2.68
Cl 0.6287 0.1527 0.8214  1 Ca 2.68
Cl 0.2896 0.3069 0.3392  2 Ca 2.83-2.90
Cl 0.2104 0.8069 0.6608  2 Ca 2.83-2.90
Cl 0.1287 0.3473 0.8214  1 Ca 2.68
Cl 0.3713 0.8473 0.1786  1 Ca 2.68
Cl 0.7104 0.6931 0.6608  2 Ca 2.83-2.90
Cl 0.7896 0.1931 0.3392  2 Ca 2.83-2.90

---

No. 3
Ba2CaCl6: relaxed, GGA-PBE.

Unit cell a=5.1356 b=7.2125 c=8.7544 alpha=114.33 beta=107.05 gamma=90.00
Last column: nearest neighbours and their distance in Å.
Fractional coordinates of all 9 atoms:
Ba 0.3356 0.3355 0.6710  8 Cl 3.16-3.20
Ba 0.6644 0.6645 0.3290  8 Cl 3.16-3.20
Ca 0.0000 0.0000 0.0000  8 Cl 2.94-3.05
Cl 0.8428 0.0829 0.6855  1 Ca 2.94, 3 Ba 3.18-3.20
Cl 0.1572 0.3974 0.3145  1 Ca 2.94, 3 Ba 3.18-3.20
Cl 0.1572 0.9171 0.3145  1 Ca 2.94, 3 Ba 3.18-3.20
Cl 0.5000 0.2286 0.0000  2 Ca 3.05, 2 Ba 3.16, 1 Cl 3.30
Cl 0.8428 0.6026 0.6855  1 Ca 2.94, 3 Ba 3.18-3.20
Cl 0.5000 0.7714 0.0000  2 Ca 3.05, 2 Ba 3.16, 1 Cl 3.30

---

No. 4
BaCaCl: relaxed, GGA-PBE.

## Properties
Energy relative to the lowest polymorph listed for this composition ... 0.000 eV/atom

Unit cell a=4.5110 b=4.5110 c=11.3032 alpha=90.00 beta=90.00 gamma=90.00
Last column: nearest neighbours and their distance in Å.
Fractional coordinates of all 6 atoms:
Ca 0.0000 0.5000 0.5805  1 Cl 3.49, 4 Ca 3.67
Ca 0.5000 0.0000 0.4195  1 Cl 3.49, 4 Ca 3.67
Ba 0.0000 0.5000 0.1810  5 Cl 3.29
Ba 0.5000 0.0000 0.8190  5 Cl 3.29
Cl 0.0000 0.5000 0.8896  5 Ba 3.29, 1 Ca 3.49
Cl 0.5000 0.0000 0.1104  5 Ba 3.29, 1 Ca 3.49

---

No. 5
BaCaCl: relaxed, GGA-PBE.

## Properties
Energy relative to the lowest polymorph listed for this composition ... 0.066 eV/atom

Unit cell a=7.6727 b=4.2282 c=15.5711 alpha=90.00 beta=113.33 gamma=90.00
Last column: nearest neighbours and their distance in Å.
Fractional coordinates of all 12 atoms:
Ca 0.1601 0.0000 0.6026  3 Cl 2.81-3.04
Ca 0.1601 0.5000 0.1026  3 Cl 2.81-3.04
Ca 0.4288 0.0000 0.3102  2 Cl 2.86-3.01
Ca 0.4288 0.5000 0.8102  2 Cl 2.86-3.01
Ba 0.9667 0.0000 0.8495  4 Cl 3.30-3.42
Ba 0.9667 0.5000 0.3495  4 Cl 3.30-3.42
Ba 0.5607 0.0000 0.0580  3 Cl 3.25-3.39
Ba 0.5607 0.5000 0.5580  3 Cl 3.25-3.39
Cl 0.0080 0.0000 0.1955  3 Ca 3.01-3.04, 3 Ba 3.25-3.30
Cl 0.0080 0.5000 0.6955  3 Ca 3.01-3.04, 3 Ba 3.25-3.30
Cl 0.7871 0.0000 0.4667  2 Ca 2.81-2.86
Cl 0.7871 0.5000 0.9667  2 Ca 2.81-2.86

---

No. 6
Ba3CaCl: relaxed, GGA-PBE.

Unit cell a=6.2981 b=6.2981 c=6.2981 alpha=90.00 beta=90.00 gamma=90.00
Last column: nearest neighbours and their distance in Å.
Fractional coordinates of all 5 atoms:
Ca 0.5000 0.5000 0.5000  12 Ba 4.45
Ba 0.0000 0.5000 0.0000  2 Cl 3.15
Ba 0.0000 0.0000 0.5000  2 Cl 3.15
Ba 0.5000 0.0000 0.0000  2 Cl 3.15
Cl 0.0000 0.0000 0.0000  6 Ba 3.15

---

No. 7
Ba2CaCl: relaxed, GGA-PBE.

## Properties
Energy relative to the lowest polymorph listed for this composition ... 0.632 eV/atom

Unit cell a=6.4420 b=6.4420 c=6.4420 alpha=60.00 beta=60.00 gamma=60.00
Last column: nearest neighbours and their distance in Å.
Fractional coordinates of all 4 atoms:
Ca 0.5000 0.5000 0.5000  4 Cl 3.94, 4 Ba 3.94
Ba 0.0000 0.0000 0.0000  4 Ba 3.94, 4 Cl 3.94
Ba 0.2500 0.2500 0.2500  4 Ba 3.94, 4 Ca 3.94
Cl 0.7500 0.7500 0.7500  4 Ba 3.94, 4 Ca 3.94

---

No. 8
Ba2CaCl: relaxed, GGA-PBE.

## Properties
Energy relative to the lowest polymorph listed for this composition ... 0.457 eV/atom

Unit cell a=6.5068 b=6.5068 c=6.5068 alpha=60.00 beta=60.00 gamma=60.00
Last column: nearest neighbours and their distance in Å.
Fractional coordinates of all 4 atoms:
Ca 0.5000 0.5000 0.5000  8 Ba 3.98
Ba 0.2500 0.2500 0.2500  4 Cl 3.98, 4 Ca 3.98
Ba 0.7500 0.7500 0.7500  4 Cl 3.98, 4 Ca 3.98
Cl 0.0000 0.0000 0.0000  8 Ba 3.98

---

No. 9
BaCaCl: relaxed, GGA-PBE.

## Properties
Energy relative to the lowest polymorph listed for this composition ... 0.057 eV/atom

Unit cell a=4.5618 b=4.5618 c=5.5763 alpha=90.00 beta=90.00 gamma=90.00
Last column: nearest neighbours and their distance in Å.
Fractional coordinates of all 3 atoms:
Ca 0.5000 0.5000 0.0000  2 Cl 2.79
Ba 0.0000 0.0000 0.5000  4 Cl 3.23
Cl 0.5000 0.5000 0.5000  2 Ca 2.79

---

No. 10
BaCa2Cl7: relaxed, GGA-PBE.

Unit cell a=5.1689 b=8.0431 c=8.0431 alpha=115.29 beta=90.00 gamma=90.00
Last column: nearest neighbours and their distance in Å.
Fractional coordinates of all 10 atoms:
Ba 0.0000 0.0000 0.0000  10 Cl 3.36-3.50
Ca 0.5000 0.7061 0.2939  7 Cl 2.66-2.87
Ca 0.5000 0.2939 0.7061  7 Cl 2.66-2.87
Cl 0.0000 0.7526 0.2474  2 Ca 2.66
Cl 0.0000 0.2474 0.7526  2 Ca 2.66
Cl 0.5000 0.0729 0.3174  2 Ca 2.86-2.87, 1 Cl 3.11
Cl 0.5000 0.9271 0.6826  2 Ca 2.86-2.87, 1 Cl 3.11
Cl 0.5000 0.3174 0.0729  2 Ca 2.86-2.87, 1 Cl 3.11
Cl 0.5000 0.6826 0.9271  2 Ca 2.86-2.87, 1 Cl 3.11
Cl 0.5000 0.5000 0.5000  2 Ca 2.80, 4 Cl 3.11

---

No. 11
BaCaCl3: relaxed, GGA-PBE.

## Properties
Energy relative to the lowest polymorph listed for this composition ... 0.297 eV/atom

Unit cell a=5.9908 b=5.9908 c=5.9908 alpha=90.00 beta=90.00 gamma=90.00
Last column: nearest neighbours and their distance in Å.
Fractional coordinates of all 5 atoms:
Ca 0.5000 0.5000 0.5000  12 Cl 4.24
Ba 0.0000 0.0000 0.0000  6 Cl 3.00
Cl 0.0000 0.5000 0.0000  2 Ba 3.00
Cl 0.0000 0.0000 0.5000  2 Ba 3.00
Cl 0.5000 0.0000 0.0000  2 Ba 3.00

---

No. 12
BaCaCl: relaxed, GGA-PBE.

## Properties
Energy relative to the lowest polymorph listed for this composition ... 0.441 eV/atom

Unit cell a=5.5389 b=5.5389 c=5.5389 alpha=60.00 beta=60.00 gamma=60.00
Last column: nearest neighbours and their distance in Å.
Fractional coordinates of all 3 atoms:
Ca 0.5000 0.5000 0.5000  4 Cl 3.39
Ba 0.0000 0.0000 0.0000  4 Cl 3.39
Cl 0.7500 0.7500 0.7500  4 Ca 3.39, 4 Ba 3.39

---

Number 1: spin magnetization 0.318 μB/atom, formation energy from raw total energies -0.243 eV per atom. Number 2: spin magnetization 0.000 μB/atom, formation energy from raw total energies -2.428 eV per atom. Number 3: spin magnetization 0.000 μB/atom, formation energy from raw total energies -2.466 eV per atom. Number 4: spin magnetization 0.247 μB/atom, formation energy from raw total energies -1.164 eV per atom. Number 5: spin magnetization 0.125 μB/atom, formation energy from raw total energies -1.097 eV per atom. Number 6: spin magnetization 0.000 μB/atom, formation energy from raw total energies -0.654 eV per atom. Number 7: spin magnetization 0.197 μB/atom, formation energy from raw total energies -0.194 eV per atom. Number 8: spin magnetization 0.000 μB/atom, formation energy from raw total energies -0.368 eV per atom. Number 9: spin magnetization 0.000 μB/atom, formation energy from raw total energies -1.107 eV per atom. Number 10: spin magnetization 0.096 μB/atom, formation energy from raw total energies -2.042 eV per atom. Number 11: spin magnetization 0.160 μB/atom, formation energy from raw total energies -1.666 eV per atom. Number 12: spin magnetization 0.000 μB/atom, formation energy from raw total energies -0.722 eV per atom.